DyB5Rh7 | GGA-PBE | relaxed

abc: 4.926 6.181 6.181
angles: 84.50 66.51 66.51
Element x y z (fractional)
B: 0.444 0.480 0.998
B: 0.714 0.786 0.786
B: 0.444 0.998 0.480
B: 0.078 0.480 0.998
B: 0.078 0.998 0.480
Rh: 0.922 0.745 0.412
Rh: 0.557 0.148 0.737
Rh: 0.922 0.412 0.745
Rh: 0.676 0.324 0.324
Rh: 0.342 0.658 0.658
Rh: 0.256 0.244 0.244
Rh: 0.557 0.737 0.148
Dy: 0.009 0.991 0.991

Summary:
* magnetization: 0.0 μB/f.u.
* symmetry: No. 44
* V: 12.14 Å³ per atom
* E: -7.094 eV per atom
* density of states at the Fermi level: 8.04 states/eV/cell